Below is Cr3Sn5O12 after structural relaxation, with properties calculated at the PBE with a Hubbard U level.

Values from the calculation:
N(E_F): 0.219 states/eV per atom
Calculated total energy: -6.41 eV per atom
Crystal system: cubic

Unit cell a=12.920 b=12.920 c=12.920 alpha=90.00 beta=90.00 gamma=90.00
Space group Ia-3d (No. 230)
Symmetry-distinct sites (fractional):
1 Cr 0.000 0.250 0.125
2 Sn 0.000 0.000 0.000
3 Sn 0.000 0.250 0.375
4 O 0.029 0.067 0.646